{
  "formula": "RbIn4Au4",
  "functional": "GGA-PBE",
  "state": "optimized geometry",
  "volume_a3_per_atom": 26.2,
  "sg": "P4_2/nmc (137)",
  "de_polymorph_ev_per_atom": 0.002,
  "n_ef_per_ev_fu": 5.71,
  "magnetic_moment_mub_per_cell": 0.000,
  "lattice_angstrom": [[7.1235, 0.0000, 0.0000], [0.0000, 7.1235, 0.0000], [0.0000, 0.0000, 9.2940]],
  "species": ["Rb", "Rb", "In", "In", "In", "In", "In", "In", "In", "In", "Au", "Au", "Au", "Au", "Au", "Au", "Au", "Au"],
  "fractional_positions": [[0.0000, 0.0000, 0.0000], [0.5000, 0.5000, 0.5000], [0.2474, 0.5000, 0.8682], [0.7526, 0.5000, 0.8682], [0.5000, 0.7526, 0.1318], [0.5000, 0.2474, 0.1318], [0.0000, 0.7474, 0.3682], [0.0000, 0.2526, 0.3682], [0.2526, 0.0000, 0.6318], [0.7474, 0.0000, 0.6318], [0.5000, 0.8020, 0.8296], [0.5000, 0.1980, 0.8296], [0.8020, 0.5000, 0.1704], [0.1980, 0.5000, 0.1704], [0.3020, 0.0000, 0.3296], [0.6980, 0.0000, 0.3296], [0.0000, 0.3020, 0.6704], [0.0000, 0.6980, 0.6704]]
}


{
  "formula": "Rb2InAu2",
  "functional": "GGA-PBE",
  "state": "optimized geometry",
  "volume_a3_per_atom": 33.4,
  "sg": "C2/c (15)",
  "de_polymorph_ev_per_atom": 0.000,
  "n_ef_per_ev_fu": 1.62,
  "magnetic_moment_mub_per_cell": 0.000,
  "lattice_angstrom": [[6.9831, 0.0000, 0.0000], [-3.4916, 5.7245, 0.2704], [0.0000, -2.2100, 8.2489]],
  "species": ["Rb", "Rb", "Rb", "Rb", "In", "In", "Au", "Au", "Au", "Au"],
  "fractional_positions": [[0.5151, 0.2887, 0.1341], [0.2265, 0.7113, 0.3659], [0.4849, 0.7113, 0.8659], [0.7735, 0.2887, 0.6341], [0.9090, 0.0000, 0.2500], [0.0910, 0.0000, 0.7500], [0.7162, 0.7172, 0.4986], [0.9990, 0.2828, 0.0014], [0.2838, 0.2828, 0.5014], [0.0010, 0.7172, 0.9986]]
}


{
  "formula": "Rb2InAu2",
  "functional": "GGA-PBE",
  "state": "optimized geometry",
  "volume_a3_per_atom": 37.7,
  "sg": "I4/mmm (139)",
  "de_polymorph_ev_per_atom": 0.391,
  "n_ef_per_ev_fu": 3.40,
  "magnetic_moment_mub_per_cell": 0.502,
  "lattice_angstrom": [[-0.8649, 0.1653, 5.0459], [-1.7106, -4.8262, -0.1351], [5.3761, -4.7265, 3.6761]],
  "species": ["Au", "Au", "Rb", "Rb", "In"],
  "fractional_positions": [[0.4049, 0.4049, 0.1903], [0.5951, 0.5951, 0.8097], [0.7500, 0.2500, 0.5000], [0.2500, 0.7500, 0.5000], [0.0000, 0.0000, 0.0000]]
}


{
  "formula": "RbIn3Au2",
  "functional": "GGA-PBE",
  "state": "optimized geometry",
  "volume_a3_per_atom": 27.4,
  "sg": "C2/m (12)",
  "de_polymorph_ev_per_atom": 0.000,
  "n_ef_per_ev_fu": 2.85,
  "magnetic_moment_mub_per_cell": 0.000,
  "lattice_angstrom": [[4.6519, 0.0000, 0.0000], [-2.3259, 8.9319, -2.7395], [0.0000, 0.3212, 11.7616]],
  "species": ["Rb", "Rb", "Rb", "In", "In", "In", "In", "In", "In", "In", "In", "In", "Au", "Au", "Au", "Au", "Au", "Au"],
  "fractional_positions": [[0.1583, 0.3166, 0.7087], [0.8417, 0.6834, 0.2913], [0.0000, 0.0000, 0.0000], [0.0405, 0.0810, 0.3505], [0.9595, 0.9190, 0.6495], [0.2145, 0.4291, 0.3843], [0.7855, 0.5709, 0.6157], [0.6252, 0.2505, 0.2048], [0.3748, 0.7495, 0.7952], [0.5000, 0.0000, 0.5000], [0.3271, 0.6542, 0.0351], [0.6729, 0.3458, 0.9649], [0.1975, 0.3950, 0.1263], [0.8025, 0.6050, 0.8737], [0.4689, 0.9378, 0.2098], [0.5311, 0.0622, 0.7902], [0.3552, 0.7104, 0.5423], [0.6448, 0.2896, 0.4577]]
}


{
  "formula": "RbInAu10",
  "functional": "GGA-PBE",
  "state": "optimized geometry",
  "volume_a3_per_atom": 22.0,
  "sg": "Pmmm (47)",
  "n_ef_per_ev_fu": 4.18,
  "magnetic_moment_mub_per_cell": 0.000,
  "lattice_angstrom": [[4.6671, 0.0000, 0.0000], [0.0000, 5.7056, 0.0000], [0.0000, 0.0000, 9.9268]],
  "species": ["Rb", "In", "Au", "Au", "Au", "Au", "Au", "Au", "Au", "Au", "Au", "Au"],
  "fractional_positions": [[0.0000, 0.0000, 0.0000], [0.0000, 0.5000, 0.5000], [0.0000, 0.0000, 0.3433], [0.0000, 0.5000, 0.8057], [0.0000, 0.5000, 0.1943], [0.0000, 0.0000, 0.6567], [0.5000, 0.0000, 0.5000], [0.5000, 0.5000, 0.0000], [0.5000, 0.2474, 0.2491], [0.5000, 0.7526, 0.7509], [0.5000, 0.7526, 0.2491], [0.5000, 0.2474, 0.7509]]
}


{
  "formula": "RbInAu3",
  "functional": "GGA-PBE",
  "state": "optimized geometry",
  "volume_a3_per_atom": 28.6,
  "sg": "Cmcm (63)",
  "de_polymorph_ev_per_atom": 0.002,
  "n_ef_per_ev_fu": 2.17,
  "magnetic_moment_mub_per_cell": 0.000,
  "lattice_angstrom": [[-6.1190, -0.0061, -4.3851], [-0.3531, -7.4002, 1.3359], [-5.8109, 1.7406, 8.1062]],
  "species": ["Rb", "Rb", "Rb", "Rb", "In", "In", "In", "In", "Au", "Au", "Au", "Au", "Au", "Au", "Au", "Au", "Au", "Au", "Au", "Au"],
  "fractional_positions": [[0.8723, 0.1277, 0.2500], [0.1277, 0.8723, 0.7500], [0.4609, 0.5391, 0.2500], [0.5391, 0.4609, 0.7500], [0.0000, 0.5000, 0.0000], [0.0000, 0.5000, 0.5000], [0.5000, 0.0000, 0.0000], [0.5000, 0.0000, 0.5000], [0.3574, 0.0760, 0.2500], [0.6426, 0.9240, 0.7500], [0.0760, 0.3574, 0.7500], [0.9240, 0.6426, 0.2500], [0.1732, 0.8268, 0.4220], [0.8268, 0.1732, 0.9220], [0.8268, 0.1732, 0.5780], [0.1732, 0.8268, 0.0780], [0.7927, 0.7927, 0.0000], [0.2073, 0.2073, 0.5000], [0.2073, 0.2073, 0.0000], [0.7927, 0.7927, 0.5000]]
}


no.,E_form (meV/atom)
1,-272
2,-272
3,119
4,-230
5,-91
6,-196